# CaLaTiFeO6, relaxed, DFT PBE+U
# Theoretical density in g cm⁻³: 5.446
# Raw total energy in eV per atom: -7.686
data_CaLaTiFeO6
_chemical_formula_sum 'Ca2 La2 Ti2 Fe2 O12'
_symmetry_space_group_name_H-M 'P 1 c 1'
_symmetry_Int_Tables_number 7
_cell_length_a 5.452
_cell_length_b 5.488
_cell_length_c 9.447
_cell_angle_alpha 90.00
_cell_angle_beta 125.21
_cell_angle_gamma 90.00
loop_
_symmetry_equiv_pos_as_xyz
'x,y,z'
'x,-y,z+1/2'
loop_
_atom_site_label
_atom_site_type_symbol
_atom_site_fract_x
_atom_site_fract_y
_atom_site_fract_z
Ca1 Ca 0.000 0.211 0.000
La1 La 0.487 0.280 0.501
Ti1 Ti 0.244 0.248 0.752
Fe1 Fe 0.742 0.251 0.251
O1 O 0.060 0.032 0.286
O2 O 0.415 0.466 0.211
O3 O 0.490 0.030 0.717
O4 O 0.566 0.262 0.001
O5 O 0.927 0.233 0.501
O6 O 0.994 0.463 0.789